Arrangement A

Below is TiV3Ge after structural relaxation, with properties calculated at the PBE level.

extended XYZ file:
```
10
Lattice="5.374 0.000 0.000 0.000 4.316 0.000 -0.637 0.000 6.250" Properties=species:S:1:pos:R:3 pbc="T T T"
Ti 1.125 1.079 1.671
Ti 3.613 3.237 4.580
V -0.261 1.079 5.189
V 1.151 3.237 6.016
V 2.055 1.079 4.311
V 2.682 3.237 1.940
V 3.587 1.079 0.234
V 4.998 3.237 1.061
Ge 0.767 3.237 3.542
Ge 3.971 1.079 2.709
```

Results
Crystal system: monoclinic
V: 145 Å³/cell


Arrangement B

Below is TiV3Ge after structural relaxation, with properties calculated at the PBE level.

extended XYZ file:
```
5
Lattice="4.481 0.000 0.000 0.000 4.481 0.000 0.000 0.000 4.481" Properties=species:S:1:pos:R:3 pbc="T T T"
Ti 0.000 0.000 0.000
V 0.000 2.241 2.241
V 2.241 0.000 2.241
V 2.241 2.241 0.000
Ge 2.241 2.241 2.241
```

Results
Crystal system: cubic
V: 90 Å³/cell


Arrangement C

Below is TiV3Ge after structural relaxation, with properties calculated at the PBE level.

extended XYZ file:
```
5
Lattice="4.381 0.000 0.000 0.000 4.381 0.000 0.000 0.000 4.381" Properties=species:S:1:pos:R:3 pbc="T T T"
Ti 0.000 0.000 0.000
V 0.000 0.000 2.191
V 0.000 2.191 0.000
V 2.191 0.000 0.000
Ge 2.191 2.191 2.191
```

Results
Crystal system: cubic
V: 84 Å³/cell


Short version: arrangement A is the most stable of them.


Arrangement A

Below is Y3TiGe after structural relaxation, with properties calculated at the PBE level.

extended XYZ file:
```
5
Lattice="5.254 0.000 0.000 0.000 5.254 0.000 0.000 0.000 5.254" Properties=species:S:1:pos:R:3 pbc="T T T"
Y 0.000 0.000 2.627
Y 0.000 2.627 0.000
Y 2.627 0.000 0.000
Ti 0.000 0.000 0.000
Ge 2.627 2.627 2.627
```

Results
Crystal system: cubic
V: 145 Å³/cell


Arrangement B

Below is Y3TiGe after structural relaxation, with properties calculated at the PBE level.

extended XYZ file:
```
5
Lattice="5.423 0.000 0.000 0.000 5.423 0.000 0.000 0.000 5.423" Properties=species:S:1:pos:R:3 pbc="T T T"
Y 0.000 0.000 2.712
Y 0.000 2.712 0.000
Y 2.712 0.000 0.000
Ti 2.712 2.712 2.712
Ge 0.000 0.000 0.000
```

Results
Crystal system: cubic
V: 160 Å³/cell


Short version: arrangement B is the most stable of them.


Arrangement A

Below is YTi2Ge2 after structural relaxation, with properties calculated at the PBE level.

extended XYZ file:
```
10
Lattice="7.332 0.000 0.000 0.000 7.332 0.000 0.000 0.000 3.459" Properties=species:S:1:pos:R:3 pbc="T T T"
Y 0.000 0.000 0.000
Y 3.666 3.666 0.000
Ti 1.219 2.447 1.730
Ti 2.447 6.113 1.730
Ti 4.885 1.219 1.730
Ti 6.113 4.885 1.730
Ge 0.935 4.601 0.000
Ge 2.731 0.935 0.000
Ge 4.601 6.397 0.000
Ge 6.397 2.731 0.000
```

Results
Crystal system: tetragonal
V: 186 Å³/cell


Arrangement B

Below is YTi2Ge2 after structural relaxation, with properties calculated at the PBE level.

extended XYZ file:
```
5
Lattice="-2.025 2.025 5.893 2.025 -2.025 5.893 2.025 2.025 -5.893" Properties=species:S:1:pos:R:3 pbc="T T T"
Y 0.000 0.000 0.000
Ti 2.025 0.000 2.946
Ti 0.000 2.025 2.946
Ge 0.000 0.000 4.622
Ge 0.000 0.000 7.164
```

Results
Crystal system: tetragonal
V: 97 Å³/cell


Arrangement C

Below is YTi2Ge2 after structural relaxation, with properties calculated at the PBE level.

extended XYZ file:
```
5
Lattice="-2.428 2.428 4.430 2.428 -2.428 4.430 2.428 2.428 -4.430" Properties=species:S:1:pos:R:3 pbc="T T T"
Y 0.000 0.000 0.000
Ti 0.000 0.000 3.036
Ti 0.000 0.000 5.824
Ge 2.428 0.000 2.215
Ge 0.000 2.428 2.215
```

Results
Crystal system: tetragonal
V: 104 Å³/cell


Arrangement D

Below is YTi2Ge2 after structural relaxation, with properties calculated at the PBE level.

extended XYZ file:
```
10
Lattice="7.912 0.000 0.000 0.000 7.912 0.000 0.000 0.000 2.927" Properties=species:S:1:pos:R:3 pbc="T T T"
Y 0.000 0.000 0.000
Y 3.956 3.956 0.000
Ti 0.934 3.022 0.000
Ti 3.022 6.978 0.000
Ti 4.890 0.934 0.000
Ti 6.978 4.890 0.000
Ge 1.389 5.345 1.464
Ge 2.567 1.389 1.464
Ge 5.345 6.522 1.464
Ge 6.522 2.567 1.464
```

Results
Crystal system: tetragonal
V: 183 Å³/cell


Short version: arrangement B is the most stable of them.


Arrangement A

Below is TiZnGe3 after structural relaxation, with properties calculated at the PBE level.

extended XYZ file:
```
5
Lattice="4.752 0.000 0.000 0.000 4.752 0.000 0.000 0.000 4.752" Properties=species:S:1:pos:R:3 pbc="T T T"
Ti 0.000 0.000 0.000
Zn 2.376 2.376 2.376
Ge 0.000 2.376 2.376
Ge 2.376 0.000 2.376
Ge 2.376 2.376 0.000
```

Results
Crystal system: cubic
V: 107 Å³/cell


Arrangement B

Below is TiZnGe3 after structural relaxation, with properties calculated at the PBE level.

extended XYZ file:
```
5
Lattice="4.928 0.000 0.000 0.000 4.928 0.000 0.000 0.000 4.928" Properties=species:S:1:pos:R:3 pbc="T T T"
Ti 0.000 0.000 0.000
Zn 2.464 2.464 2.464
Ge 0.000 0.000 2.464
Ge 0.000 2.464 0.000
Ge 2.464 0.000 0.000
```

Results
Crystal system: cubic
V: 120 Å³/cell


Short version: arrangement B is the most stable of them.


Arrangement A

Below is ZrTi2Ge2 after structural relaxation, with properties calculated at the PBE level.

extended XYZ file:
```
10
Lattice="4.321 -5.104 0.000 4.321 5.104 0.000 -2.760 0.000 4.415" Properties=species:S:1:pos:R:3 pbc="T T T"
Zr 2.251 4.105 3.312
Zr 3.631 -4.105 1.104
Ti 2.718 0.983 0.146
Ti 1.338 -0.983 2.354
Ti 4.544 0.983 2.061
Ti 3.164 -0.983 4.269
Ge 3.631 3.240 1.104
Ge 2.251 1.309 3.312
Ge 3.631 -1.309 1.104
Ge 2.251 -3.240 3.312
```

Results
Crystal system: monoclinic
V: 195 Å³/cell


Arrangement B

Below is ZrTi2Ge2 after structural relaxation, with properties calculated at the PBE level.

extended XYZ file:
```
5
Lattice="-2.435 2.435 4.034 2.435 -2.435 4.034 2.435 2.435 -4.034" Properties=species:S:1:pos:R:3 pbc="T T T"
Zr 0.000 0.000 0.000
Ti 0.000 0.000 2.712
Ti 0.000 0.000 5.356
Ge 2.435 0.000 2.017
Ge 0.000 2.435 2.017
```

Results
Crystal system: tetragonal
V: 96 Å³/cell


Short version: arrangement A is the most stable of them.


Arrangement A

Below is ZrTi2Ge2 after structural relaxation, with properties calculated at the PBE level.

extended XYZ file:
```
10
Lattice="7.092 0.000 0.000 0.000 7.092 0.000 0.000 0.000 3.443" Properties=species:S:1:pos:R:3 pbc="T T T"
Zr 0.000 0.000 0.000
Zr 3.546 3.546 0.000
Ti 1.198 2.348 1.722
Ti 2.348 5.893 1.722
Ti 4.744 1.198 1.722
Ti 5.893 4.744 1.722
Ge 0.919 4.465 0.000
Ge 2.626 0.919 0.000
Ge 4.465 6.172 0.000
Ge 6.172 2.626 0.000
```

Results
Crystal system: tetragonal
V: 173 Å³/cell


Arrangement B

Below is ZrTi2Ge2 after structural relaxation, with properties calculated at the PBE level.

extended XYZ file:
```
10
Lattice="7.732 0.000 0.000 0.000 7.732 0.000 0.000 0.000 2.906" Properties=species:S:1:pos:R:3 pbc="T T T"
Zr 0.000 0.000 0.000
Zr 3.866 3.866 0.000
Ti 0.934 2.932 0.000
Ti 2.932 6.798 0.000
Ti 4.800 0.934 0.000
Ti 6.798 4.800 0.000
Ge 1.359 5.225 1.453
Ge 2.507 1.359 1.453
Ge 5.225 6.372 1.453
Ge 6.372 2.507 1.453
```

Results
Crystal system: tetragonal
V: 174 Å³/cell


Short version: arrangement A is the most stable of them.


Arrangement A

Below is ZrTi3Ge after structural relaxation, with properties calculated at the PBE level.

extended XYZ file:
```
5
Lattice="4.803 0.000 0.000 0.000 4.803 0.000 0.000 0.000 4.803" Properties=species:S:1:pos:R:3 pbc="T T T"
Zr 0.000 0.000 0.000
Ti 0.000 0.000 2.402
Ti 0.000 2.402 0.000
Ti 2.402 0.000 0.000
Ge 2.402 2.402 2.402
```

Results
Crystal system: cubic
V: 111 Å³/cell


Arrangement B

Below is ZrTi3Ge after structural relaxation, with properties calculated at the PBE level.

extended XYZ file:
```
5
Lattice="4.739 0.000 0.000 0.000 4.739 0.000 0.000 0.000 4.739" Properties=species:S:1:pos:R:3 pbc="T T T"
Zr 0.000 0.000 0.000
Ti 0.000 2.369 2.369
Ti 2.369 0.000 2.369
Ti 2.369 2.369 0.000
Ge 2.369 2.369 2.369
```

Results
Crystal system: cubic
V: 106 Å³/cell


Arrangement C

Below is ZrTi3Ge after structural relaxation, with properties calculated at the PBE level.

extended XYZ file:
```
20
Lattice="8.853 0.000 0.000 0.000 3.436 0.000 0.000 0.000 12.022" Properties=species:S:1:pos:R:3 pbc="T T T"
Zr 1.444 0.859 0.054
Zr 2.982 2.577 6.065
Zr 5.871 0.859 5.957
Zr 7.409 2.577 11.968
Ti 0.625 0.859 4.987
Ti 0.708 2.577 2.650
Ti 1.485 2.577 9.572
Ti 2.941 0.859 3.561
Ti 3.719 0.859 8.662
Ti 3.801 2.577 10.998
Ti 5.052 0.859 1.024
Ti 5.134 2.577 3.361
Ti 5.912 2.577 8.462
Ti 7.367 0.859 2.451
Ti 8.145 0.859 9.372
Ti 8.228 2.577 7.035
Ge 1.301 0.859 7.563
Ge 3.126 2.577 1.552
Ge 5.727 0.859 10.471
Ge 7.552 2.577 4.459
```

Results
Crystal system: orthorhombic
V: 366 Å³/cell


Short version: arrangement C is the most stable of them.


Arrangement A

Below is Zr3TiGe after structural relaxation, with properties calculated at the PBE level.

extended XYZ file:
```
5
Lattice="4.903 0.000 0.000 0.000 4.903 0.000 0.000 0.000 4.903" Properties=species:S:1:pos:R:3 pbc="T T T"
Zr 0.000 0.000 2.451
Zr 0.000 2.451 0.000
Zr 2.451 0.000 0.000
Ti 0.000 0.000 0.000
Ge 2.451 2.451 2.451
```

Results
Crystal system: cubic
V: 118 Å³/cell


Arrangement B

Below is Zr3TiGe after structural relaxation, with properties calculated at the PBE level.

extended XYZ file:
```
5
Lattice="5.016 0.000 0.000 0.000 5.016 0.000 0.000 0.000 5.016" Properties=species:S:1:pos:R:3 pbc="T T T"
Zr 0.000 0.000 2.508
Zr 0.000 2.508 0.000
Zr 2.508 0.000 0.000
Ti 2.508 2.508 2.508
Ge 0.000 0.000 0.000
```

Results
Crystal system: cubic
V: 126 Å³/cell


Short version: arrangement B is the most stable of them.